[1]
The following is a DFT calculation (meta-GGA SCAN) of BaWSe2N at its PBEsol-relaxed geometry.

Computed properties:
**Density of states at the Fermi level**: 4.51 states/eV/f.u.
**Crystal system**: tetragonal
**Calculated total energy**: -148.5 eV/cell
**Calculated density**: 5.59 Mg/m³

Cell: 4.340 5.809 5.809 Å, 90.00 90.00 90.00°
Last column: magnetic moment on the atom in μB.
Element x y z (fractional)
1 Se 0.000 0.000 0.500  -0.40
2 Se 0.000 0.500 0.000  -0.40
3 Ba 0.000 0.000 0.000  -0.04
4 W 0.500 0.500 0.500  3.31
5 N 0.500 0.000 0.000  0.69


[2]
The following is a DFT calculation (meta-GGA SCAN) of Ba2SrN2 at its PBEsol-relaxed geometry.

Computed properties:
**Density of states at the Fermi level**: 4.70 states/eV/f.u.
**Crystal system**: trigonal
**Calculated total energy**: -122.9 eV/cell
**Calculated density**: 4.96 Mg/m³

Cell: 3.856 3.856 10.153 Å, 90.00 90.00 120.00°
Element x y z (fractional)
1 Sr 0.000 0.000 0.500
2 Ba 0.333 0.667 0.793
3 Ba 0.667 0.333 0.207
4 N 0.333 0.667 0.335
5 N 0.667 0.333 0.665


[3]
The following is a DFT calculation (meta-GGA SCAN) of BaTcN2 at its PBEsol-relaxed geometry.

Computed properties:
**Density of states at the Fermi level**: 2.46 states/eV/f.u.
**Crystal system**: cubic
**Calculated total energy**: -88.4 eV/cell
**Calculated density**: 8.14 Mg/m³

Cell: 4.235 4.235 4.235 Å, 60.00 60.00 60.00°
Last column: magnetic moment on the atom in μB.
Element x y z (fractional)
1 N 0.250 0.250 0.250  -0.24
2 N 0.750 0.750 0.750  -0.24
3 Ba 0.500 0.500 0.500  0.01
4 Tc 0.000 0.000 0.000  1.48


[4]
The following is a DFT calculation (meta-GGA SCAN) of BaTcTe2N at its PBEsol-relaxed geometry.

Computed properties:
**Density of states at the Fermi level**: 2.36 states/eV/f.u.
**Crystal system**: tetragonal
**Calculated total energy**: -160.7 eV/cell
**Calculated density**: 6.94 Mg/m³

Cell: 3.769 5.660 5.660 Å, 90.00 90.00 90.00°
Last column: magnetic moment on the atom in μB.
Element x y z (fractional)
1 Tc 0.000 0.000 0.000  0.32
2 Te 0.000 0.000 0.500  -0.03
3 Te 0.000 0.500 0.000  -0.03
4 Ba 0.500 0.500 0.500  0.00
5 N 0.500 0.000 0.000  -0.05


[5]
The following is a DFT calculation (meta-GGA SCAN) of BaTe2N2 at its PBEsol-relaxed geometry.

Computed properties:
**Density of states at the Fermi level**: 4.46 states/eV/f.u.
**Polymorph energy (0 for the lowest one)**: 1.0414 eV per atom
**Crystal system**: tetragonal
**Calculated density**: 4.70 Mg/m³

Cell: 4.580 4.580 7.080 Å, 90.00 90.00 90.00°
Last column: magnetic moment on the atom in μB.
Element x y z (fractional)
1 Te 0.500 0.500 0.500  0.15
2 Te 0.000 0.000 0.500  0.02
3 Ba 0.000 0.000 0.000  0.04
4 N 0.000 0.500 0.000  0.99
5 N 0.500 0.000 0.000  0.99


[6]
The following is a DFT calculation (meta-GGA SCAN) of BaTe2N2 at its PBEsol-relaxed geometry.

Computed properties:
**Density of states at the Fermi level**: 1.08 states/eV/f.u.
**Polymorph energy (0 for the lowest one)**: 0.0000 eV per atom
**Crystal system**: tetragonal
**Calculated density**: 6.24 Mg/m³

Cell: 4.591 4.591 6.227 Å, 111.63 111.63 90.00°
Element x y z (fractional)
1 Te 0.304 0.304 0.608
2 Te 0.696 0.696 0.392
3 Ba 0.000 0.000 0.000
4 N 0.250 0.750 0.500
5 N 0.750 0.250 0.500